#w
This record from the Alexandria database describes a relaxed structure of Rb3Ag2Sn9. The functional is PBE.

a = 7.3659 Å, b = 7.3659 Å, c = 18.7446 Å
α = 90.00°, β = 90.00°, γ = 120.00°
Last column: nearest neighbours and their distance in Å.
Fractional positions:
1 Rb 0.0000 0.0000 0.2500  12 Sn 3.70-3.77
2 Rb 0.0000 0.0000 0.7500  12 Sn 3.70-3.77
3 Rb 0.3333 0.6667 0.0747  12 Sn 3.70-3.74
4 Rb 0.3333 0.6667 0.4253  12 Sn 3.70-3.74
5 Rb 0.6667 0.3333 0.5747  12 Sn 3.70-3.74
6 Rb 0.6667 0.3333 0.9253  12 Sn 3.70-3.74
7 Ag 0.3333 0.6667 0.6578  6 Sn 2.95-3.02
8 Ag 0.3333 0.6667 0.8422  6 Sn 2.95-3.02
9 Ag 0.6667 0.3333 0.1578  6 Sn 2.95-3.02
10 Ag 0.6667 0.3333 0.3422  6 Sn 2.95-3.02
11 Sn 0.0549 0.5274 0.2500  2 Ag 3.02, 2 Sn 3.08
12 Sn 0.1390 0.2779 0.5723  1 Ag 2.95, 4 Sn 3.07-3.24
13 Sn 0.1390 0.2779 0.9277  1 Ag 2.95, 4 Sn 3.07-3.24
14 Sn 0.1390 0.8610 0.5723  1 Ag 2.95, 4 Sn 3.07-3.24
15 Sn 0.1390 0.8610 0.9277  1 Ag 2.95, 4 Sn 3.07-3.24
16 Sn 0.2779 0.1390 0.0723  1 Ag 2.95, 4 Sn 3.07-3.24
17 Sn 0.2779 0.1390 0.4277  1 Ag 2.95, 4 Sn 3.07-3.24
18 Sn 0.4726 0.5274 0.2500  2 Ag 3.02, 2 Sn 3.08
19 Sn 0.4726 0.9451 0.2500  2 Ag 3.02, 2 Sn 3.08
20 Sn 0.5274 0.0549 0.7500  2 Ag 3.02, 2 Sn 3.08
21 Sn 0.5274 0.4726 0.7500  2 Ag 3.02, 2 Sn 3.08
22 Sn 0.7221 0.8610 0.5723  1 Ag 2.95, 4 Sn 3.07-3.24
23 Sn 0.7221 0.8610 0.9277  1 Ag 2.95, 4 Sn 3.07-3.24
24 Sn 0.8610 0.1390 0.0723  1 Ag 2.95, 4 Sn 3.07-3.24
25 Sn 0.8610 0.1390 0.4277  1 Ag 2.95, 4 Sn 3.07-3.24
26 Sn 0.8610 0.7221 0.0723  1 Ag 2.95, 4 Sn 3.07-3.24
27 Sn 0.8610 0.7221 0.4277  1 Ag 2.95, 4 Sn 3.07-3.24
28 Sn 0.9451 0.4726 0.7500  2 Ag 3.02, 2 Sn 3.08

Symmetry: P6_3/mmc
N(E_F), states/eV per atom: 0.451
Total magnetization, μB/atom: 0.000

---

#x
This record from the Alexandria database describes a relaxed structure of Rb3Ag2Sn9. The functional is PBE.

a = 9.8396 Å, b = 9.8396 Å, c = 9.8396 Å
α = 151.62°, β = 97.47°, γ = 89.43°
Last column: nearest neighbours and their distance in Å.
Fractional positions:
1 Rb 0.0000 0.0000 0.0000  2 Rb 3.68, 8 Sn 3.71
2 Rb 0.2628 0.2628 0.0000  10 Sn 3.67-4.10, 1 Rb 3.68, 2 Ag 3.69
3 Rb 0.7372 0.7372 0.0000  10 Sn 3.67-4.10, 1 Rb 3.68, 2 Ag 3.69
4 Ag 0.3756 0.5000 0.8756  4 Sn 2.90-3.01, 1 Ag 3.23
5 Ag 0.6244 0.5000 0.1244  4 Sn 2.90-3.01, 1 Ag 3.23
6 Sn 0.0645 0.3853 0.6792  4 Sn 2.98-3.27, 1 Ag 3.01
7 Sn 0.1568 0.8485 0.3084  4 Sn 2.98-3.27, 2 Ag 3.33
8 Sn 0.2939 0.6147 0.6792  4 Sn 2.98-3.27, 1 Ag 3.01
9 Sn 0.4599 0.1515 0.3084  4 Sn 2.98-3.27, 2 Ag 3.33
10 Sn 0.5000 0.0000 0.5000  4 Ag 2.90
11 Sn 0.5401 0.8485 0.6916  4 Sn 2.98-3.27, 2 Ag 3.33
12 Sn 0.7061 0.3853 0.3208  4 Sn 2.98-3.27, 1 Ag 3.01
13 Sn 0.8432 0.1515 0.6916  4 Sn 2.98-3.27, 2 Ag 3.33
14 Sn 0.9355 0.6147 0.3208  4 Sn 2.98-3.27, 1 Ag 3.01

Symmetry: Immm
N(E_F), states/eV per atom: 0.334
Total magnetization, μB/atom: 0.000

---

Q: Which of them is the least stable? A: #w.

---

#w
This record from the Alexandria database describes a relaxed structure of RbAgSn3. The functional is PBE.

a = 4.9408 Å, b = 4.9408 Å, c = 7.1026 Å
α = 110.30°, β = 110.30°, γ = 90.02°
Last column: nearest neighbours and their distance in Å.
Fractional positions:
1 Rb 0.0000 0.0000 0.0000  12 Sn 3.74-4.03, 4 Ag 3.80
2 Ag 0.6213 0.6213 0.2419  5 Sn 2.84-2.90
3 Sn 0.2429 0.7435 0.4864  2 Ag 2.90, 2 Sn 3.08
4 Sn 0.3914 0.3914 0.7826  1 Ag 2.84, 4 Sn 3.08
5 Sn 0.7435 0.2429 0.4864  2 Ag 2.90, 2 Sn 3.08

Symmetry: Cm
N(E_F), states/eV per atom: 0.282
Total magnetization, μB/atom: 0.000

---

#x
This record from the Alexandria database describes a relaxed structure of RbAgSn3. The functional is PBE.

a = 5.5496 Å, b = 5.5496 Å, c = 5.5496 Å
α = 90.00°, β = 90.00°, γ = 90.00°
Last column: nearest neighbours and their distance in Å.
Fractional positions:
1 Rb 0.0000 0.0000 0.0000  12 Sn 3.92
2 Ag 0.5000 0.5000 0.5000  6 Sn 2.77
3 Sn 0.0000 0.5000 0.5000  2 Ag 2.77
4 Sn 0.5000 0.0000 0.5000  2 Ag 2.77
5 Sn 0.5000 0.5000 0.0000  2 Ag 2.77

Symmetry: Pm-3m
N(E_F), states/eV per atom: 0.801
Total magnetization, μB/atom: 0.000

---

#y
This record from the Alexandria database describes a relaxed structure of RbAgSn3. The functional is PBE.

a = 6.6923 Å, b = 7.0620 Å, c = 7.2686 Å
α = 89.87°, β = 89.98°, γ = 89.90°
Last column: nearest neighbours and their distance in Å.
Fractional positions:
1 Rb 0.0000 0.0000 0.0000  9 Sn 3.76-4.16, 3 Ag 3.89-4.05
2 Rb 0.4993 0.4959 0.2991  9 Sn 3.74-4.15, 3 Ag 3.97-4.07
3 Ag 0.0025 0.2959 0.5478  5 Sn 2.77-2.96
4 Ag 0.5024 0.8018 0.7559  5 Sn 2.77-2.95
5 Sn 0.2244 0.5189 0.8247  2 Ag 2.78-2.96, 2 Sn 2.99-3.00
6 Sn 0.2760 0.0098 0.4710  2 Ag 2.78-2.95, 2 Sn 3.01
7 Sn 0.4995 0.1828 0.8438  1 Ag 2.77, 2 Sn 3.00-3.01
8 Sn 0.7253 0.0133 0.4717  2 Ag 2.78-2.95, 2 Sn 3.01
9 Sn 0.7776 0.5164 0.8262  2 Ag 2.77-2.96, 2 Sn 2.99-3.01
10 Sn 0.9985 0.6753 0.4492  1 Ag 2.77, 2 Sn 3.01

Symmetry: P1
N(E_F), states/eV per atom: 0.127
Total magnetization, μB/atom: 0.000

---

#z
This record from the Alexandria database describes a relaxed structure of RbAgSn3. The functional is PBE.

a = 6.0714 Å, b = 6.0714 Å, c = 6.0714 Å
α = 90.00°, β = 90.00°, γ = 90.00°
Last column: nearest neighbours and their distance in Å.
Fractional positions:
1 Rb 0.0000 0.0000 0.0000  6 Sn 3.04
2 Ag 0.5000 0.5000 0.5000  12 Sn 4.29
3 Sn 0.0000 0.0000 0.5000  2 Rb 3.04
4 Sn 0.0000 0.5000 0.0000  2 Rb 3.04
5 Sn 0.5000 0.0000 0.0000  2 Rb 3.04

Symmetry: Pm-3m
N(E_F), states/eV per atom: 0.864
Total magnetization, μB/atom: 0.000

---

Q: Which of them is the least stable? A: #z.

---

#w
This record from the Alexandria database describes a relaxed structure of RbAgSn. The functional is PBE.

a = 4.7660 Å, b = 4.7660 Å, c = 5.6525 Å
α = 90.00°, β = 90.00°, γ = 120.00°
Last column: nearest neighbours and their distance in Å.
Fractional positions:
1 Rb 0.0000 0.0000 0.0000  6 Sn 3.94, 6 Ag 3.94
2 Ag 0.3333 0.6667 0.5000  3 Sn 2.75
3 Sn 0.6667 0.3333 0.5000  3 Ag 2.75

Symmetry: P-6m2
N(E_F), states/eV per atom: 1.001
Total magnetization, μB/atom: 0.065

---

#x
This record from the Alexandria database describes a relaxed structure of RbAgSn. The functional is PBE.

a = 5.0063 Å, b = 4.8948 Å, c = 8.8508 Å
α = 90.00°, β = 106.37°, γ = 90.00°
Last column: nearest neighbours and their distance in Å.
Fractional positions:
1 Rb 0.1623 0.0000 0.3251  4 Ag 3.69-3.73, 4 Sn 3.71, 2 Rb 3.88-3.89
2 Rb 0.8377 0.0000 0.6749  4 Ag 3.69-3.73, 4 Sn 3.71, 2 Rb 3.88-3.89
3 Ag 0.0000 0.5000 0.0000  4 Sn 2.93-2.94
4 Ag 0.5000 0.0000 0.0000  4 Sn 2.89
5 Sn 0.4105 0.5000 0.8194  4 Ag 2.89-2.94, 1 Sn 3.07
6 Sn 0.5895 0.5000 0.1806  4 Ag 2.89-2.94, 1 Sn 3.07

Symmetry: P2/m
N(E_F), states/eV per atom: 0.494
Total magnetization, μB/atom: 0.000

---

#y
This record from the Alexandria database describes a relaxed structure of RbAgSn. The functional is PBE.

a = 9.0093 Å, b = 9.0093 Å, c = 9.0093 Å
α = 148.01°, β = 45.88°, γ = 148.01°
Last column: nearest neighbours and their distance in Å.
Fractional positions:
1 Rb 0.1698 0.0000 0.1698  5 Sn 3.74-3.96, 4 Ag 3.75-3.76
2 Rb 0.8302 0.0000 0.8302  5 Sn 3.74-3.96, 4 Ag 3.75-3.76
3 Ag 0.5015 0.5015 0.0000  4 Sn 2.91
4 Ag 0.9994 0.4994 0.5000  4 Sn 2.91
5 Sn 0.4080 0.9993 0.4087  4 Ag 2.91, 1 Sn 3.03
6 Sn 0.5906 0.9993 0.5913  4 Ag 2.91, 1 Sn 3.03

Symmetry: Imm2
N(E_F), states/eV per atom: 0.498
Total magnetization, μB/atom: 0.000

---

Q: Which of them is the least stable? A: #w.

---

#w
This record from the Alexandria database describes a relaxed structure of Rb2AgSn6. The functional is PBE.

a = 6.9339 Å, b = 6.9339 Å, c = 6.7103 Å
α = 90.00°, β = 90.00°, γ = 120.00°
Last column: nearest neighbours and their distance in Å.
Fractional positions:
1 Rb 0.3333 0.6667 0.3631  12 Sn 3.72-4.05, 3 Ag 4.11
2 Rb 0.6667 0.3333 0.6369  12 Sn 3.72-4.05, 3 Ag 4.11
3 Ag 0.0000 0.0000 0.5000  6 Sn 3.04
4 Sn 0.1694 0.3387 0.8358  2 Sn 3.00, 1 Ag 3.04
5 Sn 0.1694 0.8306 0.8358  2 Sn 3.00, 1 Ag 3.04
6 Sn 0.3387 0.1694 0.1642  2 Sn 3.00, 1 Ag 3.04
7 Sn 0.6613 0.8306 0.8358  2 Sn 3.00, 1 Ag 3.04
8 Sn 0.8306 0.1694 0.1642  2 Sn 3.00, 1 Ag 3.04
9 Sn 0.8306 0.6613 0.1642  2 Sn 3.00, 1 Ag 3.04

Symmetry: P-3m1
N(E_F), states/eV per atom: 0.288
Total magnetization, μB/atom: 0.000

---

#x
This record from the Alexandria database describes a relaxed structure of Rb2AgSn6. The functional is PBE.

a = 7.2101 Å, b = 7.2101 Å, c = 7.3694 Å
α = 107.95°, β = 107.95°, γ = 54.72°
Last column: nearest neighbours and their distance in Å.
Fractional positions:
1 Rb 0.1484 0.1484 0.3712  9 Sn 3.60-3.99
2 Rb 0.8516 0.8516 0.6288  9 Sn 3.60-3.99
3 Ag 0.5000 0.5000 0.5000  6 Sn 3.02-3.20
4 Sn 0.1135 0.6146 0.1570  1 Ag 3.02, 4 Sn 3.03-3.32
5 Sn 0.3854 0.8865 0.8430  1 Ag 3.02, 4 Sn 3.03-3.32
6 Sn 0.3937 0.3937 0.8339  3 Sn 2.96-3.03, 1 Ag 3.20
7 Sn 0.6063 0.6063 0.1661  3 Sn 2.96-3.03, 1 Ag 3.20
8 Sn 0.6146 0.1135 0.1570  1 Ag 3.02, 4 Sn 3.03-3.32
9 Sn 0.8865 0.3854 0.8430  1 Ag 3.02, 4 Sn 3.03-3.32

Symmetry: C2/m
N(E_F), states/eV per atom: 0.185
Total magnetization, μB/atom: 0.000

---

Q: Which of them is the least stable? A: #x.

---

#w
This record from the Alexandria database describes a relaxed structure of RbSr3Ag. The functional is PBE.

a = 6.4126 Å, b = 6.4126 Å, c = 6.4126 Å
α = 90.00°, β = 90.00°, γ = 90.00°
Last column: nearest neighbours and their distance in Å.
Fractional positions:
1 Rb 0.0000 0.0000 0.0000  12 Sr 4.53
2 Sr 0.0000 0.5000 0.5000  2 Ag 3.21
3 Sr 0.5000 0.0000 0.5000  2 Ag 3.21
4 Sr 0.5000 0.5000 0.0000  2 Ag 3.21
5 Ag 0.5000 0.5000 0.5000  6 Sr 3.21

Symmetry: Pm-3m
N(E_F), states/eV per atom: 0.926
Total magnetization, μB/atom: 0.000

---

#x
This record from the Alexandria database describes a relaxed structure of RbSr3Ag. The functional is PBE.

a = 7.3838 Å, b = 7.3838 Å, c = 7.3838 Å
α = 90.00°, β = 90.00°, γ = 90.00°
Last column: nearest neighbours and their distance in Å.
Fractional positions:
1 Rb 0.0000 0.0000 0.0000  6 Sr 3.69
2 Sr 0.0000 0.0000 0.5000  2 Rb 3.69
3 Sr 0.0000 0.5000 0.0000  2 Rb 3.69
4 Sr 0.5000 0.0000 0.0000  2 Rb 3.69
5 Ag 0.5000 0.5000 0.5000  12 Sr 5.22

Symmetry: Pm-3m
N(E_F), states/eV per atom: 0.551
Total magnetization, μB/atom: 0.000

---

Q: Which of them is the least stable? A: #x.

---

#w
This record from the Alexandria database describes a relaxed structure of RbSr2Ag. The functional is PBE.

a = 6.2194 Å, b = 6.2194 Å, c = 6.2194 Å
α = 60.00°, β = 60.00°, γ = 60.00°
Last column: nearest neighbours and their distance in Å.
Fractional positions:
1 Rb 0.0000 0.0000 0.0000  8 Sr 3.81
2 Sr 0.2500 0.2500 0.2500  4 Rb 3.81, 4 Ag 3.81
3 Sr 0.7500 0.7500 0.7500  4 Rb 3.81, 4 Ag 3.81
4 Ag 0.5000 0.5000 0.5000  8 Sr 3.81

Symmetry: Fm-3m
N(E_F), states/eV per atom: 1.121
Total magnetization, μB/atom: 0.000

---

#x
This record from the Alexandria database describes a relaxed structure of RbSr2Ag. The functional is PBE.

a = 8.3248 Å, b = 8.3248 Å, c = 8.3248 Å
α = 102.53°, β = 102.53°, γ = 124.47°
Last column: nearest neighbours and their distance in Å.
Fractional positions:
1 Rb 0.0000 0.0000 0.0000  2 Ag 3.88, 4 Sr 4.21
2 Rb 0.7500 0.2500 0.5000  2 Ag 3.88, 4 Sr 4.21
3 Sr 0.2239 0.6250 0.0989  2 Ag 3.19
4 Sr 0.3750 0.4739 0.5989  2 Ag 3.19
5 Sr 0.5261 0.1250 0.9011  2 Ag 3.19
6 Sr 0.8750 0.7761 0.4011  2 Ag 3.19
7 Ag 0.2500 0.7500 0.5000  4 Sr 3.19
8 Ag 0.5000 0.5000 0.0000  4 Sr 3.19

Symmetry: I-42d
N(E_F), states/eV per atom: 0.754
Total magnetization, μB/atom: 0.000

---

#y
This record from the Alexandria database describes a relaxed structure of RbSr2Ag. The functional is PBE.

a = 12.6822 Å, b = 12.6822 Å, c = 12.6822 Å
α = 20.79°, β = 20.79°, γ = 20.79°
Last column: nearest neighbours and their distance in Å.
Fractional positions:
1 Rb 0.0000 0.0000 0.0000  2 Sr 4.40, 6 Rb 4.58
2 Sr 0.1184 0.1184 0.1184  3 Ag 3.20
3 Sr 0.8816 0.8816 0.8816  3 Ag 3.20
4 Ag 0.5000 0.5000 0.5000  6 Sr 3.20

Symmetry: R-3m
N(E_F), states/eV per atom: 0.759
Total magnetization, μB/atom: 0.000

---

#z
This record from the Alexandria database describes a relaxed structure of RbSr2Ag. The functional is PBE.

a = 4.0805 Å, b = 4.0805 Å, c = 11.2529 Å
α = 90.00°, β = 90.00°, γ = 90.00°
Last column: nearest neighbours and their distance in Å.
Fractional positions:
1 Rb 0.0000 0.0000 0.0000  4 Rb 4.08
2 Sr 0.5000 0.5000 0.3346  4 Ag 3.43, 1 Sr 3.72
3 Sr 0.5000 0.5000 0.6654  4 Ag 3.43, 1 Sr 3.72
4 Ag 0.0000 0.0000 0.5000  8 Sr 3.43

Symmetry: P4/mmm
N(E_F), states/eV per atom: 0.811
Total magnetization, μB/atom: 0.000

---

Q: Which of them is the least stable? A: #w.